# 1
DFT (PBE-GGA) results for a relaxed CsK2PdAu crystal.

POSCAR file:
```
CsK2PdAu
1.0
6.208 0.000 0.000
0.000 6.208 0.000
0.000 0.000 5.374
Cs K Pd Au
1 2 1 1
direct
0.000 0.000 0.000
0.000 0.500 0.500
0.500 0.000 0.500
0.500 0.500 0.000
0.500 0.500 0.500
```

Properties
* formation energy: 0.0144 eV/atom
* volume: 207.1 Å³/cell
* DOS(E_F): 0.2330 states/eV per atom
* symmetry: No. 123
* excess energy over the best structure of this formula in the dataset: 36 meV/atom

***

# 2
DFT (PBE-GGA) results for a relaxed CsK2PdAu crystal.

POSCAR file:
```
CsK2PdAu
1.0
6.099 0.000 0.000
0.000 6.099 0.000
0.000 0.000 6.613
Cs K Pd Au
1 2 1 1
direct
0.000 0.000 0.000
0.000 0.500 0.500
0.500 0.000 0.500
0.000 0.000 0.500
0.500 0.500 0.000
```

Properties
* formation energy: 0.0258 eV/atom
* volume: 246.0 Å³/cell
* DOS(E_F): 0.0549 states/eV per atom
* symmetry: No. 123
* excess energy over the best structure of this formula in the dataset: 48 meV/atom

***

Q: The highest DOS(E_F) belongs to which entry?
A: number 1